(1)
Density functional theory data (PBE) for a relaxed Er2TaSi3Ir4 crystal.

The structure in POSCAR format:
```
Er2TaSi3Ir4
1.0
4.0812 0.0000 0.0000
0.0000 4.0812 0.0000
0.0000 0.0000 10.4695
Er Ta Si Ir
2 1 3 4
Direct
0.5000 0.0000 0.2347
0.0000 0.5000 0.7653
0.5000 0.5000 0.5000
0.0000 0.0000 0.5000
0.5000 0.0000 0.8738
0.0000 0.5000 0.1262
0.5000 0.5000 0.0000
0.0000 0.0000 0.0000
0.5000 0.0000 0.6455
0.0000 0.5000 0.3545
```

E = -8.24 eV/atom
Space-group type = P-4m2
Formation energy from raw total energies = -0.97 eV per atom
Total magnetic moment = 0.0 μB per cell

(2)
Density functional theory data (PBE) for a relaxed Sr2CaW crystal.

The structure in POSCAR format:
```
Sr2CaW
1.0
-5.0895 -3.1357 -3.9086
-4.2908 -4.9334 2.8746
2.4367 6.7136 0.0536
Sr Ca W
2 1 1
Direct
0.9506 0.9506 0.0000
0.5494 0.5494 0.0000
0.2500 0.7500 0.5000
0.7500 0.2500 0.5000
```

Offset from the most stable computed form = 0.386 eV/f.u.
E = -3.58 eV/atom
Space-group type = Immm
Energy of formation = 1.003 eV per atom
Total magnetic moment = 2.5 μB per cell

(3)
Density functional theory data (PBE) for a relaxed Sr3Ag2Hg4 crystal.

The structure in POSCAR format:
```
Sr3Ag2Hg4
1.0
4.9768 0.0000 0.0000
-2.4884 5.9266 -0.4033
0.0000 -3.0438 9.0471
Sr Ag Hg
3 2 4
Direct
0.6681 0.3362 0.6631
0.0000 0.0000 0.0000
0.3319 0.6638 0.3369
0.6074 0.2148 0.2769
0.3926 0.7852 0.7231
0.7183 0.4366 0.0597
0.2817 0.5634 0.9403
0.9450 0.8900 0.6162
0.0550 0.1100 0.3838
```

E = -1.75 eV/atom
Space-group type = C2/m
Energy of formation = -0.422 eV per atom
Total magnetic moment = 0.0 μB per cell